1.
First-principles (PBE) data for crystalline Na2TlPb at its relaxed geometry, as listed in Alexandria via LeMat-Bulk.

Properties
uncorrected energy: -2.2985 eV per atom
ΔH_f (0 K): -120 meV per atom
volume: 114 Å³/cell

Unit cell a=3.724 b=3.724 c=8.186 alpha=90.00 beta=90.00 gamma=90.00
Fractional coordinates of all 4 atoms:
Na 0.000 0.000 0.249
Na 0.000 0.000 0.751
Tl 0.500 0.500 0.500
Pb 0.500 0.500 0.000

=====

2.
First-principles (PBE) data for crystalline Mn2AlAu at its relaxed geometry, as listed in Alexandria via LeMat-Bulk.

Properties
energy relative to the lowest polymorph listed for this composition: 79 meV per atom
uncorrected energy: -6.3864 eV per atom
ΔH_f (0 K): -47 meV per atom
volume: 60 Å³/cell

Unit cell a=2.812 b=2.812 c=7.530 alpha=90.00 beta=90.00 gamma=90.00
Fractional coordinates of all 4 atoms:
Mn 0.000 0.000 0.233
Mn 0.000 0.000 0.767
Al 0.500 0.500 0.000
Au 0.500 0.500 0.500

=====

3.
First-principles (PBE) data for crystalline CdFeRh2C at its relaxed geometry, as listed in Alexandria via LeMat-Bulk.

Properties
uncorrected energy: -6.6268 eV per atom
ΔH_f (0 K): 34 meV per atom
volume: 67 Å³/cell

Unit cell a=4.140 b=4.140 c=3.889 alpha=90.00 beta=90.00 gamma=90.00
Fractional coordinates of all 5 atoms:
Cd 0.000 0.000 0.000
Fe 0.500 0.500 0.000
Rh 0.000 0.500 0.500
Rh 0.500 0.000 0.500
C 0.500 0.500 0.500

=====

4.
First-principles (PBE) data for crystalline CrIr2Au at its relaxed geometry, as listed in Alexandria via LeMat-Bulk.

Properties
energy relative to the lowest polymorph listed for this composition: 220 meV per atom
uncorrected energy: -7.4120 eV per atom
ΔH_f (0 K): 244 meV per atom
volume: 120 Å³/cell

Unit cell a=5.551 b=7.562 c=2.861 alpha=90.00 beta=90.00 gamma=90.00
Fractional coordinates of all 8 atoms:
Cr 0.000 0.000 0.000
Cr 0.500 0.500 0.000
Ir 0.250 0.250 0.500
Ir 0.250 0.750 0.500
Ir 0.750 0.250 0.500
Ir 0.750 0.750 0.500
Au 0.000 0.500 0.000
Au 0.500 0.000 0.000

=====

5.
First-principles (PBE) data for crystalline Ac3AlTl3Te8 at its relaxed geometry, as listed in Alexandria via LeMat-Bulk.

Properties
raw formation energy: -882.9 meV/atom
uncorrected energy: -4.1029 eV per atom
volume: 614 Å³/cell

Unit cell a=9.672 b=9.672 c=9.672 alpha=58.26 beta=58.26 gamma=58.26
Fractional coordinates of all 15 atoms:
Ac 0.000 0.500 0.500
Ac 0.500 0.000 0.500
Ac 0.500 0.500 0.000
Al 0.000 0.000 0.000
Tl 0.000 0.000 0.500
Tl 0.000 0.500 0.000
Tl 0.500 0.000 0.000
Te 0.214 0.214 0.780
Te 0.214 0.780 0.214
Te 0.220 0.786 0.786
Te 0.255 0.255 0.255
Te 0.745 0.745 0.745
Te 0.780 0.214 0.214
Te 0.786 0.220 0.786
Te 0.786 0.786 0.220

=====

6.
First-principles (PBE) data for crystalline AlGa2Ge at its relaxed geometry, as listed in Alexandria via LeMat-Bulk.

Properties
energy relative to the lowest polymorph listed for this composition: 0 meV per atom
uncorrected energy: -3.5038 eV per atom
ΔH_f (0 K): 100 meV per atom
volume: 73 Å³/cell

Unit cell a=3.949 b=3.949 c=4.684 alpha=90.00 beta=90.00 gamma=90.00
Fractional coordinates of all 4 atoms:
Al 0.000 0.000 0.000
Ga 0.000 0.500 0.500
Ga 0.500 0.000 0.500
Ge 0.500 0.500 0.000

=====

7.
First-principles (PBE) data for crystalline NbAl2Cu at its relaxed geometry, as listed in Alexandria via LeMat-Bulk.

Properties
uncorrected energy: -5.4184 eV per atom
ΔH_f (0 K): -6 meV per atom
volume: 244 Å³/cell

Unit cell a=6.253 b=6.253 c=6.253 alpha=90.00 beta=90.00 gamma=90.00
Fractional coordinates of all 16 atoms:
Nb 0.000 0.000 0.000
Nb 0.000 0.500 0.500
Nb 0.500 0.000 0.500
Nb 0.500 0.500 0.000
Al 0.250 0.250 0.250
Al 0.250 0.250 0.750
Al 0.250 0.750 0.250
Al 0.250 0.750 0.750
Al 0.750 0.250 0.250
Al 0.750 0.250 0.750
Al 0.750 0.750 0.250
Al 0.750 0.750 0.750
Cu 0.000 0.000 0.500
Cu 0.000 0.500 0.000
Cu 0.500 0.000 0.000
Cu 0.500 0.500 0.500

=====

8.
First-principles (PBE) data for crystalline Nb3Re2Mo4 at its relaxed geometry, as listed in Alexandria via LeMat-Bulk.

Properties
uncorrected energy: -11.0688 eV per atom
ΔH_f (0 K): -132 meV per atom
volume: 146 Å³/cell

Unit cell a=4.506 b=4.506 c=8.325 alpha=90.00 beta=90.00 gamma=120.00
Fractional coordinates of all 9 atoms:
Nb 0.000 0.000 0.000
Nb 0.333 0.667 0.443
Nb 0.667 0.333 0.557
Re 0.333 0.667 0.781
Re 0.667 0.333 0.219
Mo 0.000 0.000 0.331
Mo 0.000 0.000 0.669
Mo 0.333 0.667 0.109
Mo 0.667 0.333 0.891

=====

9.
First-principles (PBE) data for crystalline Na3Er2SnS6 at its relaxed geometry, as listed in Alexandria via LeMat-Bulk.

Properties
raw formation energy: -1453.9 meV/atom
uncorrected energy: -4.9414 eV per atom
volume: 272 Å³/cell

Unit cell a=6.861 b=6.861 c=7.049 alpha=99.35 beta=99.35 gamma=119.99
Fractional coordinates of all 12 atoms:
Na 0.000 0.000 0.000
Na 0.336 0.664 0.000
Na 0.664 0.336 0.000
Er 0.167 0.833 0.500
Er 0.833 0.167 0.500
Sn 0.500 0.500 0.500
S 0.090 0.425 0.275
S 0.240 0.240 0.725
S 0.425 0.090 0.275
S 0.575 0.910 0.725
S 0.760 0.760 0.275
S 0.910 0.575 0.725

=====

10.
First-principles (PBE) data for crystalline NaTl6Hg8 at its relaxed geometry, as listed in Alexandria via LeMat-Bulk.

Properties
uncorrected energy: -1.2308 eV per atom
ΔH_f (0 K): -35 meV per atom
volume: 437 Å³/cell

Unit cell a=8.158 b=8.158 c=8.158 alpha=66.43 beta=66.43 gamma=66.43
Fractional coordinates of all 15 atoms:
Na 0.000 0.000 0.000
Tl 0.196 0.406 0.653
Tl 0.347 0.804 0.594
Tl 0.406 0.653 0.196
Tl 0.594 0.347 0.804
Tl 0.653 0.196 0.406
Tl 0.804 0.594 0.347
Hg 0.018 0.184 0.560
Hg 0.160 0.160 0.160
Hg 0.184 0.560 0.018
Hg 0.440 0.982 0.816
Hg 0.560 0.018 0.184
Hg 0.816 0.440 0.982
Hg 0.840 0.840 0.840
Hg 0.982 0.816 0.440

=====

11.
First-principles (PBE) data for crystalline NaPaSiO5 at its relaxed geometry, as listed in Alexandria via LeMat-Bulk.

Properties
raw formation energy: -3008.5 meV/atom
uncorrected energy: -8.1371 eV per atom
volume: 241 Å³/cell

Unit cell a=5.847 b=5.847 c=7.982 alpha=105.66 beta=105.66 gamma=102.00
Fractional coordinates of all 16 atoms:
Na 0.164 0.836 0.750
Na 0.836 0.164 0.250
Pa 0.500 0.500 0.000
Pa 0.500 0.500 0.500
Si 0.173 0.827 0.250
Si 0.827 0.173 0.750
O 0.119 0.242 0.886
O 0.199 0.642 0.374
O 0.242 0.119 0.386
O 0.358 0.801 0.126
O 0.417 0.583 0.750
O 0.583 0.417 0.250
O 0.642 0.199 0.874
O 0.758 0.881 0.614
O 0.801 0.358 0.626
O 0.881 0.758 0.114

=====

12.
First-principles (PBE) data for crystalline Ho5Pt2Se2 at its relaxed geometry, as listed in Alexandria via LeMat-Bulk.

Properties
raw formation energy: -1354.2 meV/atom
uncorrected energy: -6.0141 eV per atom
volume: 432 Å³/cell

Unit cell a=8.366 b=8.366 c=7.624 alpha=90.00 beta=90.00 gamma=54.00
Fractional coordinates of all 18 atoms:
Ho 0.000 0.000 0.000
Ho 0.032 0.710 0.656
Ho 0.210 0.532 0.156
Ho 0.290 0.968 0.656
Ho 0.468 0.790 0.156
Ho 0.500 0.500 0.500
Ho 0.532 0.210 0.844
Ho 0.710 0.032 0.344
Ho 0.790 0.468 0.844
Ho 0.968 0.290 0.344
Pt 0.139 0.861 0.363
Pt 0.361 0.639 0.863
Pt 0.639 0.361 0.137
Pt 0.861 0.139 0.637
Se 0.205 0.205 0.000
Se 0.295 0.295 0.500
Se 0.705 0.705 0.500
Se 0.795 0.795 0.000

=====

13.
First-principles (PBE) data for crystalline La2GaPt at its relaxed geometry, as listed in Alexandria via LeMat-Bulk.

Properties
uncorrected energy: -5.5429 eV per atom
ΔH_f (0 K): -812 meV per atom
volume: 103 Å³/cell

Unit cell a=3.699 b=3.699 c=7.560 alpha=90.00 beta=90.00 gamma=90.00
Fractional coordinates of all 4 atoms:
La 0.000 0.000 0.235
La 0.000 0.000 0.765
Ga 0.500 0.500 0.500
Pt 0.500 0.500 0.000

=====

14.
First-principles (PBE) data for crystalline Ba3NdMg4 at its relaxed geometry, as listed in Alexandria via LeMat-Bulk.

Properties
uncorrected energy: -2.1676 eV per atom
ΔH_f (0 K): -53 meV per atom
volume: 303 Å³/cell

Unit cell a=4.172 b=4.172 c=17.428 alpha=90.00 beta=90.00 gamma=90.00
Fractional coordinates of all 8 atoms:
Ba 0.000 0.000 0.000
Ba 0.000 0.000 0.266
Ba 0.000 0.000 0.734
Nd 0.000 0.000 0.500
Mg 0.500 0.500 0.133
Mg 0.500 0.500 0.402
Mg 0.500 0.500 0.598
Mg 0.500 0.500 0.867

=====

15.
First-principles (PBE) data for crystalline Li2TlAg2Sn2 at its relaxed geometry, as listed in Alexandria via LeMat-Bulk.

Properties
uncorrected energy: -2.9381 eV per atom
ΔH_f (0 K): -95 meV per atom
volume: 149 Å³/cell

Unit cell a=8.380 b=8.380 c=8.380 alpha=32.29 beta=32.29 gamma=32.29
Fractional coordinates of all 7 atoms:
Li 0.225 0.225 0.225
Li 0.775 0.775 0.775
Tl 0.500 0.500 0.500
Ag 0.094 0.094 0.094
Ag 0.906 0.906 0.906
Sn 0.367 0.367 0.367
Sn 0.633 0.633 0.633

=====

16.
First-principles (PBE) data for crystalline Y2Cd2Br at its relaxed geometry, as listed in Alexandria via LeMat-Bulk.

Properties
raw formation energy: -288.4 meV/atom
energy relative to the lowest polymorph listed for this composition: 250 meV per atom
uncorrected energy: -3.5746 eV per atom
volume: 281 Å³/cell

Unit cell a=8.799 b=8.799 c=3.625 alpha=90.00 beta=90.00 gamma=90.00
Fractional coordinates of all 10 atoms:
Y 0.184 0.316 0.000
Y 0.316 0.816 0.000
Y 0.684 0.184 0.000
Y 0.816 0.684 0.000
Cd 0.114 0.614 0.500
Cd 0.386 0.114 0.500
Cd 0.614 0.886 0.500
Cd 0.886 0.386 0.500
Br 0.000 0.000 0.500
Br 0.500 0.500 0.500

=====

17.
First-principles (PBE) data for crystalline AcCeSn2 at its relaxed geometry, as listed in Alexandria via LeMat-Bulk.

Properties
uncorrected energy: -5.1062 eV per atom
ΔH_f (0 K): -594 meV per atom
volume: 124 Å³/cell

Unit cell a=3.797 b=4.501 c=7.231 alpha=90.00 beta=90.11 gamma=90.00
Fractional coordinates of all 4 atoms:
Ac 0.000 0.000 0.000
Ce 0.000 0.000 0.500
Sn 0.500 0.500 0.275
Sn 0.500 0.500 0.725

=====

18.
First-principles (PBE) data for crystalline MgSiSn at its relaxed geometry, as listed in Alexandria via LeMat-Bulk.

Properties
raw formation energy: 62.2 meV/atom
energy relative to the lowest polymorph listed for this composition: 47 meV per atom
uncorrected energy: -3.6113 eV per atom
volume: 134 Å³/cell

Unit cell a=3.574 b=5.820 c=7.266 alpha=69.10 beta=89.81 gamma=72.54
Fractional coordinates of all 6 atoms:
Mg 0.000 0.000 0.000
Mg 0.216 0.579 0.764
Si 0.392 0.219 0.211
Si 0.750 0.512 0.074
Sn 0.437 0.110 0.617
Sn 0.669 0.680 0.386